A geometry-optimized TmHfGa2 structure. Source: the Alexandria database, functional PBE-GGA.

Properties
M_tot in μB per atom: 0.000
SG: P4/mmm (123)
E above lowest polymorph in meV/atom: 46
Calculated formation energy in eV/atom: -0.41
DFT total energy in eV per formula unit: -22.12
Theoretical density in Mg/m³: 10.0

Lattice parameters (Å, degrees): 3.5311 3.5311 6.4813 90.00 90.00 90.00
Atoms (fractional coordinates):
Tm 0.5000 0.5000 0.5000
Hf 0.5000 0.5000 0.0000
Ga 0.0000 0.0000 0.7718
Ga 0.0000 0.0000 0.2282